[1]
The following is a GGA-PBE calculation of IrAuSe2 after structural relaxation, from the Alexandria database.

Calculated values
total energy	-4.745	eV per atom
density of states at the Fermi level	1.84	states/eV per cell
uncorrected formation energy	0.03	eV/atom
calculated volume	20.595	Å³ per atom

Unit cell a=6.7027 b=3.6235 c=7.2653 alpha=90.00 beta=110.98 gamma=90.00
With the nearest neighbours (Å) after each atom.
Space group C2/m (No. 12)
One atom of each set of equivalent atoms:
Ir1 0.0000 0.0000 0.0000  6 Se 2.50-2.55
Au1 0.0000 0.0000 0.5000  4 Se 2.76
Se1 0.1070 0.5000 0.8062  3 Ir 2.50-2.55, 2 Au 2.76



[2]
The following is a GGA-PBE calculation of La3TlPb2 after structural relaxation, from the Alexandria database.

Calculated values
ΔH_f (0 K)	-544.0	meV/atom
total energy	-4.638	eV per atom
density of states at the Fermi level	8.48	states/eV per cell
relative energy among the computed polymorphs	0	meV/atom
calculated volume	31.551	Å³ per atom

Unit cell a=5.2525 b=15.7486 c=4.5771 alpha=90.00 beta=90.00 gamma=90.00
With the nearest neighbours (Å) after each atom.
Space group Cmmm (No. 65)
One atom of each set of equivalent atoms:
La1 0.0000 0.0000 0.0000  4 Pb 3.45, 4 Tl 3.48, 4 La 3.72
La2 0.0000 0.3326 0.0000  6 Pb 3.48-3.50, 2 Tl 3.49, 4 La 3.70-3.72
Tl1 0.0000 0.5000 0.5000  8 La 3.48-3.49, 4 Pb 3.68
Pb1 0.0000 0.1641 0.5000  8 La 3.45-3.50, 2 Tl 3.68, 2 Pb 3.77



[3]
The following is a GGA-PBE calculation of YScFe after structural relaxation, from the Alexandria database.

Calculated values
ΔH_f (0 K)	-16.3	meV/atom
total energy	-7.102	eV per atom
density of states at the Fermi level	26.37	states/eV per cell
relative energy among the computed polymorphs	0	meV/atom
calculated volume	22.411	Å³ per atom

Unit cell a=6.3981 b=11.8439 c=7.0980 alpha=90.00 beta=90.00 gamma=90.00
With the nearest neighbours (Å) after each atom.
Space group Cmce (No. 64)
One atom of each set of equivalent atoms:
Y1 0.0000 0.1950 0.1100  2 Fe 2.76-2.78
Sc1 0.2500 0.0416 0.7500  4 Fe 2.67-2.69
Fe1 0.0000 0.0902 0.4600  1 Fe 2.21



[4]
The following is a GGA-PBE calculation of ThGa12Au4 after structural relaxation, from the Alexandria database.

Calculated values
ΔH_f (0 K)	-154.7	meV/atom
total energy	-3.499	eV per atom
density of states at the Fermi level	17.21	states/eV per cell
calculated volume	20.924	Å³ per atom

Unit cell a=8.9271 b=8.9271 c=8.9271 alpha=90.00 beta=90.00 gamma=90.00
With the nearest neighbours (Å) after each atom.
Space group Im-3 (No. 204)
One atom of each set of equivalent atoms:
Th1 0.0000 0.0000 0.0000  12 Ga 3.42
Ga1 0.0000 0.3539 0.1458  2 Au 2.59, 2 Ga 2.60-2.61
Au1 0.2500 0.2500 0.2500  6 Ga 2.59



[5]
The following is a GGA-PBE calculation of ZrW after structural relaxation, from the Alexandria database.

Calculated values
ΔH_f (0 K)	494.8	meV/atom
total energy	-10.256	eV per atom
density of states at the Fermi level	18.92	states/eV per cell
calculated volume	20.766	Å³ per atom

Unit cell a=8.0420 b=8.0420 c=5.1374 alpha=90.00 beta=90.00 gamma=90.00
With the nearest neighbours (Å) after each atom.
Space group P4/mcc (No. 124)
One atom of each set of equivalent atoms:
Zr1 0.0707 0.2944 0.0000  3 W 2.77-3.05, 2 Zr 2.81
W1 0.2887 0.4155 0.5000  2 W 2.59, 1 Zr 2.77



[6]
The following is a GGA-PBE calculation of CaIr2Cl after structural relaxation, from the Alexandria database.

Calculated values
total energy	-5.323	eV per atom
density of states at the Fermi level	2.01	states/eV per cell
relative energy among the computed polymorphs	452	meV/atom
uncorrected formation energy	0.07	eV/atom
calculated volume	21.932	Å³ per atom

Unit cell a=3.8280 b=5.1689 c=8.8676 alpha=90.00 beta=90.00 gamma=90.00
With the nearest neighbours (Å) after each atom.
Space group Imm2 (No. 44)
One atom of each set of equivalent atoms:
Ca1 0.0000 0.0000 0.0000  6 Ir 2.98-3.22, 2 Cl 3.08
Ir1 0.0000 0.0000 0.5047  2 Ir 2.40, 2 Cl 2.58
Ir2 0.0000 0.5000 0.1672  2 Ir 2.40
Cl1 0.0000 0.5000 0.8103  2 Ir 2.58



[7]
The following is a GGA-PBE calculation of Dy2YZn after structural relaxation, from the Alexandria database.

Calculated values
ΔH_f (0 K)	-126.2	meV/atom
total energy	-4.362	eV per atom
density of states at the Fermi level	17.10	states/eV per cell
relative energy among the computed polymorphs	36	meV/atom
calculated volume	27.943	Å³ per atom

Unit cell a=6.8206 b=10.0220 c=6.5407 alpha=90.00 beta=90.00 gamma=90.00
With the nearest neighbours (Å) after each atom.
Space group Pnma (No. 62)
One atom of each set of equivalent atoms:
Dy1 0.1916 0.0460 0.1850  2 Zn 2.94-3.02
Y1 0.0004 0.2500 0.6193  2 Zn 2.95-3.01
Zn1 0.0932 0.7500 0.9400  4 Dy 2.94-3.02, 2 Y 2.95-3.01



[8]
The following is a GGA-PBE calculation of Pr2ErAgTe5 after structural relaxation, from the Alexandria database.

Calculated values
total energy	-4.824	eV per atom
density of states at the Fermi level	0.28	states/eV per cell
uncorrected formation energy	-1.19	eV/atom
calculated volume	30.954	Å³ per atom

Unit cell a=4.4038 b=19.0052 c=13.3143 alpha=90.00 beta=90.00 gamma=90.00
With the nearest neighbours (Å) after each atom.
Space group Cmc2_1 (No. 36)
One atom of each set of equivalent atoms:
Pr1 0.0000 0.1109 0.0000  8 Te 3.28-3.42
Pr2 0.0000 0.1256 0.6181  8 Te 3.25-3.45
Er1 0.0000 0.1921 0.3221  6 Te 2.96-3.13, 2 Ag 3.28
Ag1 0.0000 0.4307 0.7728  4 Te 2.74-2.85
Te1 0.0000 0.0434 0.3891  2 Ag 2.74, 1 Er 2.96
Te2 0.0000 0.2859 0.9793  2 Er 3.07, 3 Pr 3.33-3.34
Te3 0.0000 0.3051 0.6554  1 Ag 2.85, 2 Er 3.13
Te4 0.0000 0.3551 0.3122  1 Er 3.10, 4 Pr 3.39-3.41
Te5 0.0000 0.4987 0.0922  1 Ag 2.75



[9]
The following is a GGA-PBE calculation of HoEr4Tm2 after structural relaxation, from the Alexandria database.

Calculated values
ΔH_f (0 K)	145.1	meV/atom
total energy	-4.394	eV per atom
density of states at the Fermi level	23.48	states/eV per cell
relative energy among the computed polymorphs	139	meV/atom
calculated volume	30.504	Å³ per atom

Unit cell a=6.0924 b=6.4172 c=11.3219 alpha=90.00 beta=105.25 gamma=90.00
With the nearest neighbours (Å) after each atom.
Space group P2_1/m (No. 11)
One atom of each set of equivalent atoms:
Ho1 0.0241 0.2500 0.3560  6 Er 3.29-3.39, 2 Tm 3.34-3.50
Er1 0.1622 0.2500 0.6567  3 Tm 3.26-3.63, 3 Ho 3.29-3.39, 2 Er 3.35
Er2 0.2942 0.7500 0.9305  1 Ho 3.31, 4 Tm 3.35-3.36, 4 Er 3.43-3.50
Er3 0.3498 0.5024 0.2122  5 Er 3.18-3.50, 1 Ho 3.30, 2 Tm 3.40-3.43
Tm1 0.1422 0.2500 0.9413  9 Er 3.26-3.43
Tm2 0.3923 0.7500 0.5023  2 Ho 3.34-3.50, 6 Er 3.38-3.63, 2 Tm 3.47



[10]
The following is a GGA-PBE calculation of TaAl2Ag after structural relaxation, from the Alexandria database.

Calculated values
ΔH_f (0 K)	-26.8	meV/atom
total energy	-5.574	eV per atom
density of states at the Fermi level	1.82	states/eV per cell
relative energy among the computed polymorphs	114	meV/atom
calculated volume	17.018	Å³ per atom

Unit cell a=4.9070 b=2.8810 c=5.2837 alpha=90.00 beta=114.31 gamma=90.00
With the nearest neighbours (Å) after each atom.
Space group P2/m (No. 10)
One atom of each set of equivalent atoms:
Ta1 0.0000 0.0000 0.0000  6 Al 2.77-2.85, 2 Ta 2.88, 4 Ag 3.01
Al1 0.5000 0.0000 0.5000  2 Ta 2.77, 4 Ag 2.85, 6 Al 2.88-3.01
Al2 0.5000 0.5000 0.0000  2 Ag 2.77, 4 Ta 2.85, 6 Al 2.88-3.01
Ag1 0.0000 0.5000 0.5000  6 Al 2.77-2.85, 2 Ag 2.88, 4 Ta 3.01



[11]
The following is a GGA-PBE calculation of TbNd2Tl after structural relaxation, from the Alexandria database.

Calculated values
ΔH_f (0 K)	-63.4	meV/atom
total energy	-4.196	eV per atom
density of states at the Fermi level	23.74	states/eV per cell
relative energy among the computed polymorphs	133	meV/atom
calculated volume	31.001	Å³ per atom

Unit cell a=7.9159 b=7.9159 c=7.9159 alpha=90.00 beta=90.00 gamma=90.00
With the nearest neighbours (Å) after each atom.
Space group Fm-3m (No. 225)
One atom of each set of equivalent atoms:
Tb1 0.0000 0.0000 0.0000  8 Nd 3.43
Nd1 0.2500 0.2500 0.2500  4 Tl 3.43, 4 Tb 3.43
Tl1 0.0000 0.0000 0.5000  8 Nd 3.43



[12]
The following is a GGA-PBE calculation of Rb2Er2RuO6 after structural relaxation, from the Alexandria database.

Calculated values
total energy	-6.778	eV per atom
density of states at the Fermi level	12.83	states/eV per cell
uncorrected formation energy	-2.23	eV/atom
calculated volume	17.227	Å³ per atom

Unit cell a=5.7696 b=9.9053 c=6.8670 alpha=90.00 beta=105.05 gamma=90.00
With the nearest neighbours (Å) after each atom.
Space group C2/m (No. 12)
One atom of each set of equivalent atoms:
Rb1 0.0000 0.1642 0.0000  6 O 2.86-3.06
Er1 0.0000 0.3352 0.5000  6 O 2.26-2.27
Ru1 0.0000 0.0000 0.5000  6 O 2.09
O1 0.2045 0.1563 0.6632  1 Ru 2.09, 2 Er 2.26-2.27
O2 0.2438 0.5000 0.6657  1 Ru 2.09, 2 Er 2.26